Compound: CaTlAg
Source: Alexandria via LeMat-Bulk
Functional: SCAN
Structure: single point on PBEsol structure

Lattice parameters (Å, degrees): 3.818 3.818 5.571 110.04 110.04 90.00
Positions (direct):
Ca 0.338 0.338 0.676
Ag 0.007 0.007 0.013
Tl 0.656 0.656 0.311

Properties
mass density = 8.24 Mg/m³
total DFT energy (no corrections) = -38.112 eV/atom
space-group type = I4mm, No. 107
ΔE_f = -0.315 eV/atom